A relaxed NdSn3Rh3 crystal. Source: Alexandria, functional PBE.

It has space group Pm-3n (No. 223), with a = 7.159 Å, b = 7.159 Å, c = 7.159 Å, α = 90.00°, β = 90.00° and γ = 90.00°. The inequivalent atoms are Nd at (0.000, 0.000, 0.000), Sn at (0.000, 0.250, 0.500) and Rh at (0.000, 0.500, 0.250).

The theoretical density comes out at 7325 kg/m3. As for the offset from the most stable computed form: 2.517 eV/f.u. Its volume is 26.2 Å³/atom.